No. 1
DFT (PBE) results for Tl2SnPdS4 after structural relaxation.

Output
As for the uncorrected formation energy: -206 kJ/mol of formula units. The calculation puts the electronic total energy at -0.1496 Ha/atom. The space group is Fddd, No. 70.

Unit cell a=12.197 b=10.226 c=8.279 alpha=81.73 beta=56.07 gamma=42.20
Element x y z (fractional)
Tl 0.038 0.038 0.712
Tl 0.288 0.288 0.962
Tl 0.712 0.712 0.038
Tl 0.962 0.962 0.288
Sn 0.375 0.375 0.375
Sn 0.625 0.625 0.625
Pd 0.125 0.125 0.125
Pd 0.875 0.875 0.875
S 0.017 0.288 0.444
S 0.249 0.556 0.712
S 0.288 0.017 0.751
S 0.444 0.751 0.017
S 0.556 0.249 0.983
S 0.712 0.983 0.249
S 0.751 0.444 0.288
S 0.983 0.712 0.556

No. 2
DFT (PBE) results for RbNaGaBi after structural relaxation.

Output
The calculation puts the electronic total energy at -0.0896 Ha/atom. The calculation puts the formation enthalpy at 0 K at -141 meV/atom. The space group is F-43m, No. 216.

Unit cell a=5.657 b=5.657 c=5.657 alpha=60.00 beta=60.00 gamma=60.00
Element x y z (fractional)
Rb 0.000 0.000 0.000
Na 0.250 0.250 0.250
Ga 0.750 0.750 0.750
Bi 0.500 0.500 0.500

No. 3
DFT (PBE) results for Ca2PrZn6 after structural relaxation.

Output
The calculation puts the electronic total energy at -0.0779 Ha/atom. The calculation puts the formation enthalpy at 0 K at -295 meV/atom. The space group is P6/mmm, No. 191.

Unit cell a=7.836 b=7.836 c=3.751 alpha=90.00 beta=90.00 gamma=120.00
Element x y z (fractional)
Ca 0.333 0.667 0.000
Ca 0.667 0.333 0.000
Pr 0.000 0.000 0.000
Zn 0.000 0.335 0.500
Zn 0.000 0.665 0.500
Zn 0.335 0.000 0.500
Zn 0.335 0.335 0.500
Zn 0.665 0.000 0.500
Zn 0.665 0.665 0.500

No. 4
DFT (PBE) results for Sr6Tl2Au after structural relaxation.

Output
The energy above the most stable polymorph in this dataset comes out at 0.00 eV per formula unit. The calculation puts the electronic total energy at -0.0876 Ha/atom. The calculation puts the formation enthalpy at 0 K at -373 meV/atom. The space group is P2_1/c, No. 14.

Unit cell a=7.275 b=9.360 c=13.191 alpha=90.00 beta=123.23 gamma=90.00
Element x y z (fractional)
Sr 0.078 0.168 0.436
Sr 0.078 0.332 0.936
Sr 0.301 0.684 0.437
Sr 0.301 0.816 0.937
Sr 0.354 0.037 0.234
Sr 0.354 0.463 0.734
Sr 0.646 0.537 0.266
Sr 0.646 0.963 0.766
Sr 0.699 0.184 0.063
Sr 0.699 0.316 0.563
Sr 0.922 0.668 0.064
Sr 0.922 0.832 0.564
Tl 0.198 0.120 0.754
Tl 0.198 0.380 0.254
Tl 0.802 0.620 0.746
Tl 0.802 0.880 0.246
Au 0.500 0.000 0.500
Au 0.500 0.500 0.000

No. 5
DFT (PBE) results for TaWSeBr2 after structural relaxation.

Output
As for the uncorrected formation energy: 637 kJ/mol of formula units. The energy above the most stable polymorph in this dataset comes out at 1.03 eV per formula unit. The calculation puts the electronic total energy at -0.1840 Ha/atom. The space group is P4/mmm, No. 123.

Unit cell a=5.107 b=5.107 c=4.939 alpha=90.00 beta=90.00 gamma=90.00
Element x y z (fractional)
Ta 0.000 0.000 0.000
W 0.500 0.500 0.500
Se 0.500 0.500 0.000
Br 0.000 0.500 0.500
Br 0.500 0.000 0.500

No. 6
DFT (PBE) results for SrRuCl3 after structural relaxation.

Output
As for the uncorrected formation energy: -193 kJ/mol of formula units. The energy above the most stable polymorph in this dataset comes out at 2.56 eV per formula unit. The calculation puts the electronic total energy at -0.1360 Ha/atom. The space group is Pm-3m, No. 221.

Unit cell a=5.594 b=5.594 c=5.594 alpha=90.00 beta=90.00 gamma=90.00
Element x y z (fractional)
Sr 0.000 0.000 0.000
Ru 0.500 0.500 0.500
Cl 0.000 0.000 0.500
Cl 0.000 0.500 0.000
Cl 0.500 0.000 0.000